GGA-PBE Lu2MgSc, relaxed; total moment = 0.00 μB/f.u.; relative energy among the computed polymorphs = 66.2 meV per atom; ρ = 6.60 g/cm3; DFT formation energy = 0.0511 eV/atom; VASP energy = -16.764 eV per cell
1.0
-0.8992 4.6627 -2.3627
1.5716 0.7837 -5.0048
-3.5948 0.3555 -3.8837
Sc Mg Lu
1 1 2
Cartesian
-1.4611 2.9009 -5.6256 Sc
0.0000 0.0000 0.0000 Mg
-0.7306 1.4505 -2.8128 Lu
-2.1917 4.3514 -8.4384 Lu